# 1
VASP calculation (PBE) on an optimized crystal structure of CaSnBi2.

```
CaSnBi2
1.0
-0.2239 5.0668 0.9675
-1.4674 3.2747 -3.7123
-6.3657 2.1863 0.8543
Ca Sn Bi
1 1 2
Direct
0.6736 0.6736 0.9792
0.4923 0.4923 0.5231
0.0823 0.0823 0.7531
0.2518 0.2518 0.2447
```

Summary:
V = 140.7 Å³ per cell
VASP energy = -3.677 eV/atom
SG = No. 160
formation enthalpy at 0 K = -235 meV per atom

# 2
VASP calculation (PBE) on an optimized crystal structure of CaSnBi.

```
CaSnBi
1.0
4.0899 0.0000 0.0000
0.0000 4.0899 0.0000
-2.0449 -2.0449 5.4369
Ca Bi Sn
1 1 1
Direct
0.9495 0.9495 0.8991
0.6301 0.6301 0.2602
0.2704 0.2704 0.5407
```

Summary:
V = 90.9 Å³ per cell
VASP energy = -3.656 eV/atom
SG = No. 107
formation enthalpy at 0 K = -361 meV per atom

# 3
VASP calculation (PBE) on an optimized crystal structure of Ca8SnBi5.

```
Ca8SnBi5
1.0
7.9161 0.0000 -2.7862
-3.9193 6.8710 -2.8028
-0.0775 0.0000 8.3917
Ca Sn Bi
8 1 5
Direct
0.1272 0.7539 0.0307
0.9693 0.0965 0.7233
0.7655 0.2465 0.3704
0.6296 0.3951 0.8761
0.4810 0.6049 0.2345
0.6267 0.9035 0.8728
0.2767 0.2461 0.3733
0.1239 0.7535 0.5190
0.2500 0.5000 0.7500
0.0098 0.3782 0.1288
0.8712 0.8810 0.2493
0.7507 0.6218 0.6317
0.5000 0.0000 0.5000
0.3683 0.1190 0.9902
```

Summary:
V = 455.0 Å³ per cell
VASP energy = -3.597 eV/atom
SG = No. 82
formation enthalpy at 0 K = -781 meV per atom

# 4
VASP calculation (PBE) on an optimized crystal structure of Ca2SnBi5.

```
Ca2SnBi5
1.0
-2.6032 -0.9674 4.0829
4.5789 -8.8877 0.8136
7.0918 4.1578 5.5067
Ca Sn Bi
4 2 10
Direct
0.5000 0.4999 0.2491
0.5000 0.5001 0.7509
0.5000 0.0001 0.7491
0.5000 0.9999 0.2509
0.0000 0.5000 0.5000
0.0000 0.0000 0.0000
0.0000 0.0000 0.5000
0.0000 0.5000 0.0000
0.0000 0.7500 0.2498
0.0000 0.2500 0.7502
0.0000 0.7500 0.7498
0.0000 0.2500 0.2502
0.5000 0.7452 0.4998
0.5000 0.2548 0.5002
0.5000 0.7548 0.9998
0.5000 0.2452 0.0002
```

Summary:
V = 490.1 Å³ per cell
VASP energy = -3.804 eV/atom
SG = No. 65
formation enthalpy at 0 K = -378 meV per atom

# 5
VASP calculation (PBE) on an optimized crystal structure of Ca4SnBi.

```
Ca4SnBi
1.0
5.3057 -0.0002 -0.0007
0.0025 9.1310 1.0547
-2.6553 -2.5083 8.2945
Ca Sn Bi
8 2 2
Direct
0.6944 0.0649 0.8881
0.8063 0.4357 0.1119
0.3056 0.9351 0.1119
0.1937 0.5643 0.8881
0.0779 0.8590 0.6547
0.4234 0.6410 0.3459
0.9221 0.1410 0.3453
0.5766 0.3590 0.6541
0.7493 0.7500 0.9994
0.2507 0.2500 0.0006
0.5000 0.0000 0.5000
0.0000 0.5000 0.5000
```

Summary:
V = 415.9 Å³ per cell
VASP energy = -3.225 eV/atom
SG = No. 2
formation enthalpy at 0 K = -576 meV per atom

# 6
VASP calculation (PBE) on an optimized crystal structure of Ca2Sn3Bi2.

```
Ca2Sn3Bi2
1.0
4.1883 0.0000 1.1770
1.3147 4.8578 3.3621
-0.6989 0.4415 10.5275
Ca Sn Bi
2 3 2
Direct
0.1862 0.7937 0.8338
0.8138 0.2063 0.1662
0.5000 0.0000 0.0000
0.3536 0.8095 0.4834
0.6464 0.1905 0.5166
0.1011 0.5590 0.2387
0.8989 0.4410 0.7613
```

Summary:
V = 212.7 Å³ per cell
VASP energy = -3.753 eV/atom
SG = No. 12
formation enthalpy at 0 K = -357 meV per atom

# 7
VASP calculation (PBE) on an optimized crystal structure of Ca6Sn2Bi.

```
Ca6Sn2Bi
1.0
4.8544 0.0000 0.0000
0.0000 8.4147 0.0000
0.0000 -4.2074 7.2882
Ca Sn Bi
6 2 1
Direct
0.5000 0.5800 0.0000
0.5000 0.4200 0.4199
0.5000 0.0001 0.5801
0.0000 0.2622 0.0000
0.0000 0.7378 0.7378
0.0000 0.0000 0.2622
0.0000 0.3333 0.6666
0.0000 0.6667 0.3334
0.5000 0.0000 0.0000
```

Summary:
V = 297.7 Å³ per cell
VASP energy = -3.276 eV/atom
SG = No. 189
formation enthalpy at 0 K = -621 meV per atom

# 8
VASP calculation (PBE) on an optimized crystal structure of Ca2Sn3Bi.

```
Ca2Sn3Bi
1.0
4.5774 0.0000 0.0000
-2.2887 6.4630 -2.5061
0.0000 2.3058 11.4100
Ca Sn Bi
4 6 2
Direct
0.5264 0.0529 0.8400
0.4736 0.9471 0.1600
0.7543 0.5086 0.1677
0.2457 0.4914 0.8323
0.3542 0.7084 0.6113
0.0208 0.0416 0.6267
0.6927 0.3853 0.6372
0.3073 0.6147 0.3628
0.9792 0.9584 0.3733
0.6458 0.2916 0.3887
0.8843 0.7685 0.9636
0.1157 0.2315 0.0364
```

Summary:
V = 364.0 Å³ per cell
VASP energy = -3.751 eV/atom
SG = No. 12
formation enthalpy at 0 K = -435 meV per atom

# 9
VASP calculation (PBE) on an optimized crystal structure of Ca2Sn4Bi.

```
Ca2Sn4Bi
1.0
5.1643 -0.2639 1.2869
2.2433 4.6102 1.2741
1.2988 0.7222 9.0297
Ca Sn Bi
2 4 1
Direct
0.5995 0.5924 0.2700
0.4005 0.4076 0.7300
0.8346 0.8357 0.4935
0.6942 0.6974 0.8712
0.3058 0.3026 0.1288
0.1654 0.1643 0.5065
0.0000 0.0000 0.0000
```

Summary:
V = 209.5 Å³ per cell
VASP energy = -3.725 eV/atom
SG = No. 2
formation enthalpy at 0 K = -311 meV per atom

# 10
VASP calculation (PBE) on an optimized crystal structure of Ca4SnBi2.

```
Ca4SnBi2
1.0
7.7780 0.5495 3.0499
-4.3251 6.8076 2.2475
-0.3491 0.5495 8.3473
Ca Sn Bi
8 2 4
Direct
0.7495 0.0240 0.3754
0.7505 0.5245 0.3750
0.1006 0.2260 0.5245
0.3994 0.3754 0.8750
0.2495 0.8746 0.2260
0.8994 0.3750 0.8746
0.6006 0.7255 0.0240
0.2505 0.8750 0.7255
0.5000 0.2500 0.2500
0.0000 0.0000 0.0000
0.1202 0.4952 0.1250
0.6202 0.1250 0.7548
0.8798 0.7548 0.6250
0.3798 0.6250 0.4952
```

Summary:
V = 451.8 Å³ per cell
VASP energy = -3.537 eV/atom
SG = No. 122
formation enthalpy at 0 K = -712 meV per atom

# 11
VASP calculation (PBE) on an optimized crystal structure of Ca3SnBi.

```
Ca3SnBi
1.0
-4.0676 0.8090 1.5732
1.7349 -8.2826 2.4877
3.5974 3.7503 7.3722
Ca Sn Bi
6 2 2
Direct
0.0686 0.1705 0.3908
0.4206 0.8739 0.6287
0.6236 0.2801 0.7928
0.9752 0.9837 0.0307
0.2610 0.5551 0.0266
0.7830 0.5990 0.3949
0.2213 0.4753 0.6411
0.8230 0.6788 0.7805
0.4132 0.8598 0.2775
0.6305 0.2943 0.1441
```

Summary:
V = 340.3 Å³ per cell
VASP energy = -3.400 eV/atom
SG = No. 12
formation enthalpy at 0 K = -622 meV per atom

# 12
VASP calculation (PBE) on an optimized crystal structure of CaSnBi2.

```
CaSnBi2
1.0
-2.8723 2.4548 -6.6610
-7.0900 -0.6320 2.8244
-4.7142 6.3358 -0.0344
Ca Bi Sn
2 4 2
Direct
0.5000 0.5000 0.0000
0.2500 0.7500 0.5000
0.6565 0.1250 0.2500
0.0935 0.6250 0.2500
0.3750 0.3435 0.7500
0.8750 0.9065 0.7500
0.0000 0.0000 0.0000
0.7500 0.2500 0.5000
```

Summary:
V = 337.1 Å³ per cell
VASP energy = -3.595 eV/atom
SG = No. 122
formation enthalpy at 0 K = -153 meV per atom